Compound: CaFeRu2
Source: Alexandria
Functional: PBE
Structure: optimized geometry

Lattice parameters (Å, degrees): 4.4338 4.4338 3.2070 90.00 90.00 90.00
Closest atoms and distances in Å follow each position.
Space group P4/mmm (No. 123)
Unique sites:
Ca  0.0000  0.0000  0.0000 (multiplicity 1)  8 Ru 2.74
Fe  0.5000  0.5000  0.0000 (multiplicity 1)  8 Ru 2.74
Ru  0.0000  0.5000  0.5000 (multiplicity 2)  4 Fe 2.74, 4 Ca 2.74

Its energy is -6.725 eV/atom. The magnetization comes out at 0.76 μB/atom. As for the formation energy: 0.5287 eV/atom.

---

Compound: Nb2TcBiPt
Source: Alexandria
Functional: PBE
Structure: optimized geometry

Lattice parameters (Å, degrees): 5.1930 5.1930 4.8823 90.00 90.00 90.00
Closest atoms and distances in Å follow each position.
Space group P4/mmm (No. 123)
Unique sites:
Nb  0.0000  0.5000  0.0000 (multiplicity 2)  2 Bi 2.60
Tc  0.0000  0.0000  0.5000 (multiplicity 1)  8 Nb 3.56, 4 Pt 3.67
Bi  0.5000  0.5000  0.0000 (multiplicity 1)  2 Pt 2.44, 4 Nb 2.60
Pt  0.5000  0.5000  0.5000 (multiplicity 1)  2 Bi 2.44

Its energy is -5.998 eV/atom. The magnetization comes out at 0.22 μB/atom. As for the formation energy: 2.0874 eV/atom.

---

Compound: MnGaTe2N
Source: Alexandria
Functional: PBE
Structure: optimized geometry

Lattice parameters (Å, degrees): 5.4604 5.4604 3.4780 90.00 90.00 90.00
Closest atoms and distances in Å follow each position.
Space group P4/mmm (No. 123)
Unique sites:
Mn  0.0000  0.0000  0.0000 (multiplicity 1)  2 N 1.74
Ga  0.5000  0.5000  0.5000 (multiplicity 1)  8 Te 3.24, 2 Ga 3.48
Te  0.0000  0.5000  0.0000 (multiplicity 2)  2 Mn 2.73
N  0.0000  0.0000  0.5000 (multiplicity 1)  2 Mn 1.74

Its energy is -5.246 eV/atom. The magnetization comes out at 0.26 μB/atom. The value obtained for the formation energy (no corrections) is 0.573 eV/f.u. As for the excess energy over the best structure of this formula in the dataset: 0.0000 eV per atom.

---

Compound: YTiNF2
Source: Alexandria
Functional: PBE
Structure: optimized geometry

Lattice parameters (Å, degrees): 4.0047 4.0047 4.1345 90.00 90.00 90.00
Closest atoms and distances in Å follow each position.
Space group P4/mmm (No. 123)
Unique sites:
Y  0.0000  0.0000  0.0000 (multiplicity 1)  4 N 2.83, 8 F 2.88
Ti  0.5000  0.5000  0.5000 (multiplicity 1)  4 F 2.00, 2 N 2.07
N  0.5000  0.5000  0.0000 (multiplicity 1)  2 Ti 2.07
F  0.0000  0.5000  0.5000 (multiplicity 2)  2 Ti 2.00

Its energy is -7.247 eV/atom. The magnetization comes out at 0.30 μB/atom. The value obtained for the formation energy (no corrections) is -9.807 eV/f.u. As for the excess energy over the best structure of this formula in the dataset: 0.0000 eV per atom.

---

Compound: LiSm2Ir
Source: Alexandria
Functional: PBE
Structure: optimized geometry

Lattice parameters (Å, degrees): 4.1317 4.1317 24.9233 90.00 90.00 120.00
Closest atoms and distances in Å follow each position.
Space group R-3m (No. 166, hexagonal axes)
Unique sites:
Li  0.0000  0.0000  0.0000 (multiplicity 3)  6 Sm 3.58
Sm  0.0000  0.0000  0.2260 (multiplicity 6)  3 Ir 2.81
Ir  0.0000  0.0000  0.5000 (multiplicity 3)  6 Sm 2.81

Its energy is -5.368 eV/atom. The magnetization comes out at 0.00 μB/atom. As for the formation energy: -0.3144 eV/atom.

---

Compound: TiNb2TlO8
Source: Alexandria
Functional: PBE
Structure: optimized geometry

Lattice parameters (Å, degrees): 5.8956 5.8956 6.5591 90.00 90.00 120.00
Closest atoms and distances in Å follow each position.
Space group P-3m1 (No. 164)
Unique sites:
Ti  0.0000  0.0000  0.0000 (multiplicity 1)  6 O 1.97
Nb  0.3333  0.6667  0.7344 (multiplicity 2)  4 O 1.78-1.92
Tl  0.0000  0.0000  0.5000 (multiplicity 1)  6 O 2.62
O  0.1538  0.3075  0.8196 (multiplicity 6)  1 Nb 1.92, 1 Ti 1.97
O  0.3333  0.6667  0.4630 (multiplicity 2)  1 Nb 1.78

Its energy is -8.050 eV/atom. The magnetization comes out at 0.00 μB/atom. The value obtained for the formation energy (no corrections) is -26.534 eV/f.u.

---

Compound: Pm2ZrS2N2
Source: Alexandria
Functional: PBE
Structure: optimized geometry

Lattice parameters (Å, degrees): 4.2467 4.2467 14.4000 90.00 90.00 90.00
Closest atoms and distances in Å follow each position.
Space group I4/mmm (No. 139)
Unique sites:
Pm  0.0000  0.0000  0.1180 (multiplicity 4)  4 N 2.72, 1 S 2.89
Zr  0.0000  0.0000  0.5000 (multiplicity 2)  4 N 2.12
S  0.0000  0.0000  0.3187 (multiplicity 4)  1 Zr 2.61, 1 Pm 2.89
N  0.0000  0.5000  0.0000 (multiplicity 4)  2 Zr 2.12

Its energy is -7.832 eV/atom. The magnetization comes out at 0.00 μB/atom. The value obtained for the formation energy (no corrections) is -11.872 eV/f.u.

---

Compound: V3Ru
Source: Alexandria
Functional: PBE
Structure: optimized geometry

Lattice parameters (Å, degrees): 5.9844 5.9844 5.9844 90.00 90.00 90.00
Closest atoms and distances in Å follow each position.
Space group Fm-3m (No. 225)
Unique sites:
V  0.0000  0.0000  0.0000 (multiplicity 4)  8 V 2.59
V  0.2500  0.2500  0.2500 (multiplicity 8)  4 Ru 2.59, 4 V 2.59
Ru  0.0000  0.0000  0.5000 (multiplicity 4)  8 V 2.59

Its energy is -9.437 eV/atom. The magnetization comes out at 0.00 μB/atom. As for the formation energy: -0.2787 eV/atom.

---

Compound: RbLiTe2I
Source: Alexandria
Functional: PBE
Structure: optimized geometry

Lattice parameters (Å, degrees): 5.1066 5.1066 7.2339 90.00 90.00 90.00
Closest atoms and distances in Å follow each position.
Space group P4/mmm (No. 123)
Unique sites:
Rb  0.0000  0.0000  0.0000 (multiplicity 1)  4 I 3.61
Li  0.5000  0.5000  0.5000 (multiplicity 1)  4 Te 2.55
Te  0.0000  0.5000  0.5000 (multiplicity 2)  2 Li 2.55
I  0.5000  0.5000  0.0000 (multiplicity 1)  4 Rb 3.61, 2 Li 3.62

Its energy is -2.644 eV/atom. The magnetization comes out at 0.00 μB/atom. The value obtained for the formation energy (no corrections) is -2.505 eV/f.u. As for the excess energy over the best structure of this formula in the dataset: 0.0000 eV per atom.

---

Compound: Sc3HgW
Source: Alexandria
Functional: PBE
Structure: optimized geometry

Lattice parameters (Å, degrees): 5.0859 5.0859 5.0859 90.00 90.00 90.00
Closest atoms and distances in Å follow each position.
Space group Pm-3m (No. 221)
Unique sites:
Sc  0.0000  0.0000  0.5000 (multiplicity 3)  2 W 2.54
Hg  0.5000  0.5000  0.5000 (multiplicity 1)  12 Sc 3.60
W  0.0000  0.0000  0.0000 (multiplicity 1)  6 Sc 2.54

Its energy is -5.931 eV/atom. The magnetization comes out at 0.00 μB/atom. As for the formation energy: 0.5186 eV/atom. As for the excess energy over the best structure of this formula in the dataset: 0.0000 eV per atom.

---

Compound: LiCu2F4
Source: Alexandria
Functional: PBE
Structure: optimized geometry

Lattice parameters (Å, degrees): 3.2161 9.9994 5.1311 90.00 93.34 90.00
Closest atoms and distances in Å follow each position.
Space group P2_1/m (No. 11)
Unique sites:
Li  0.1464  0.2500  0.3112 (multiplicity 2)  4 F 1.96-2.09
Cu  0.3324  0.5763  0.2301 (multiplicity 4)  4 F 1.95-2.09
F  0.0000  0.0000  0.5000 (multiplicity 2)  2 Cu 1.95
F  0.2872  0.1132  0.0578 (multiplicity 4)  1 Li 1.96, 2 Cu 2.01-2.09
F  0.3548  0.7500  0.4463 (multiplicity 2)  2 Li 1.97-2.09, 2 Cu 2.06

Its energy is -4.290 eV/atom. The magnetization comes out at 0.14 μB/atom. The value obtained for the formation energy (no corrections) is -12.440 eV/f.u. As for the excess energy over the best structure of this formula in the dataset: 0.0000 eV per atom.

---

Compound: CeEr2Pb
Source: Alexandria
Functional: PBE
Structure: optimized geometry

Lattice parameters (Å, degrees): 3.5219 3.5219 32.7029 90.00 90.00 120.00
Closest atoms and distances in Å follow each position.
Space group R-3m (No. 166, hexagonal axes)
Unique sites:
Ce  0.0000  0.0000  0.0000 (multiplicity 3)  6 Er 3.45, 6 Ce 3.52
Er  0.0000  0.0000  0.2480 (multiplicity 6)  3 Pb 3.35, 3 Ce 3.45, 6 Er 3.52
Pb  0.0000  0.0000  0.5000 (multiplicity 3)  6 Er 3.35, 6 Pb 3.52

Its energy is -4.822 eV/atom. The magnetization comes out at 0.14 μB/atom. As for the formation energy: -0.1296 eV/atom. As for the excess energy over the best structure of this formula in the dataset: 0.1125 eV per atom.

---

Compound: Ce3Sc2UN6
Source: Alexandria
Functional: PBE
Structure: optimized geometry

Lattice parameters (Å, degrees): 5.8361 10.1136 6.0532 90.00 108.70 90.00
Closest atoms and distances in Å follow each position.
Space group C2/m (No. 12)
Unique sites:
Ce  0.0000  0.0000  0.0000 (multiplicity 2)  6 N 2.52-2.56
Ce  0.0000  0.3309  0.0000 (multiplicity 4)  6 N 2.52-2.55
Sc  0.0000  0.1664  0.5000 (multiplicity 4)  6 N 2.32-2.33
U  0.0000  0.5000  0.5000 (multiplicity 2)  6 N 2.27-2.28
N  0.2358  0.3365  0.7168 (multiplicity 8)  1 U 2.28, 2 Sc 2.32-2.33, 3 Ce 2.52-2.55
N  0.2461  0.0000  0.7171 (multiplicity 4)  1 U 2.27, 2 Sc 2.33, 2 Ce 2.54

Its energy is -9.234 eV/atom. The magnetization comes out at 0.00 μB/atom. The value obtained for the formation energy (no corrections) is -19.103 eV/f.u.

---

Compound: KSn2O4
Source: Alexandria
Functional: PBE
Structure: optimized geometry

Lattice parameters (Å, degrees): 5.7241 3.3481 6.7150 90.00 90.58 90.00
Closest atoms and distances in Å follow each position.
Space group P2/m (No. 10)
Unique sites:
K  0.0000  0.0000  0.0000 (multiplicity 1)  6 O 2.93-2.94
Sn  0.0000  0.0000  0.5000 (multiplicity 1)  6 O 2.12-2.20
Sn  0.5000  0.5000  0.5000 (multiplicity 1)  6 O 2.22-2.29
O  0.1541  0.5000  0.6676 (multiplicity 2)  3 Sn 2.20-2.29
O  0.3206  0.0000  0.3448 (multiplicity 2)  3 Sn 2.12-2.22

Its energy is -5.605 eV/atom. The magnetization comes out at 0.00 μB/atom. The value obtained for the formation energy (no corrections) is -10.302 eV/f.u. As for the excess energy over the best structure of this formula in the dataset: 0.0083 eV per atom.

---

Compound: MnSb
Source: Alexandria
Functional: PBE
Structure: optimized geometry

Lattice parameters (Å, degrees): 3.3780 3.3780 3.3780 90.00 90.00 90.00
Closest atoms and distances in Å follow each position.
Space group Pm-3m (No. 221)
Unique sites:
Mn  0.0000  0.0000  0.0000 (multiplicity 1)  8 Sb 2.93
Sb  0.5000  0.5000  0.5000 (multiplicity 1)  8 Mn 2.93

Its energy is -6.344 eV/atom. The magnetization comes out at 1.63 μB/atom. The value obtained for the formation energy (no corrections) is 0.605 eV/f.u.

---

Compound: Y2BeCSe
Source: Alexandria
Functional: PBE
Structure: optimized geometry

Lattice parameters (Å, degrees): 5.0639 5.0639 3.4358 90.00 90.00 90.00
Closest atoms and distances in Å follow each position.
Space group P4/mmm (No. 123)
Unique sites:
Y  0.0000  0.5000  0.0000 (multiplicity 2)  2 C 2.53
Be  0.0000  0.0000  0.5000 (multiplicity 1)  2 C 1.72
C  0.0000  0.0000  0.0000 (multiplicity 1)  2 Be 1.72
Se  0.5000  0.5000  0.5000 (multiplicity 1)  8 Y 3.06

Its energy is -6.610 eV/atom. The magnetization comes out at 0.00 μB/atom. The value obtained for the formation energy (no corrections) is -3.690 eV/f.u.

---

Compound: Na2SbCl
Source: Alexandria
Functional: PBE
Structure: optimized geometry

Lattice parameters (Å, degrees): 3.6597 3.6597 25.8576 90.00 90.00 120.00
Closest atoms and distances in Å follow each position.
Space group R-3m (No. 166, hexagonal axes)
Unique sites:
Na  0.0000  0.0000  0.2347 (multiplicity 6)  3 Cl 2.75
Sb  0.0000  0.0000  0.0000 (multiplicity 3)  6 Na 3.31, 6 Sb 3.66
Cl  0.0000  0.0000  0.5000 (multiplicity 3)  6 Na 2.75

Its energy is -3.105 eV/atom. The magnetization comes out at 0.00 μB/atom. The value obtained for the formation energy (no corrections) is -3.813 eV/f.u. As for the excess energy over the best structure of this formula in the dataset: 0.0040 eV per atom.

---

Compound: Tl5Se3
Source: Alexandria
Functional: PBE
Structure: optimized geometry

Lattice parameters (Å, degrees): 7.8067 16.4251 8.8878 90.00 110.95 90.00
Closest atoms and distances in Å follow each position.
Space group Cm (No. 8)
Unique sites:
Tl  0.0000  0.0000  0.0000 (multiplicity 2)  4 Se 3.14-3.40
Tl  0.0169  0.3116  0.7233 (multiplicity 4)  5 Se 3.21-3.59, 2 Tl 3.52-3.53
Tl  0.2862  0.3096  0.1372 (multiplicity 4)  4 Se 3.09-3.34
Tl  0.4033  0.1058  0.3190 (multiplicity 4)  3 Se 3.10-3.26, 1 Tl 3.48
Tl  0.4476  0.3853  0.5559 (multiplicity 4)  4 Se 3.21-3.42, 1 Tl 3.52
Tl  0.4737  0.0000  0.9491 (multiplicity 2)  4 Se 2.73-2.77
Se  0.1228  0.5000  0.7120 (multiplicity 2)  1 Tl 2.75
Se  0.1568  0.2424  0.4034 (multiplicity 4)  7 Tl 3.09-3.33
Se  0.2535  0.5000  0.2480 (multiplicity 2)  1 Tl 2.77
Se  0.2728  0.1381  0.9320 (multiplicity 4)  1 Tl 2.73

Its energy is -3.113 eV/atom. The magnetization comes out at 0.00 μB/atom. The value obtained for the formation energy (no corrections) is -2.620 eV/f.u. As for the excess energy over the best structure of this formula in the dataset: 0.0091 eV per atom.

---

Compound: CsIrRu3
Source: Alexandria
Functional: PBE
Structure: optimized geometry

Lattice parameters (Å, degrees): 4.8695 4.8695 4.8695 90.00 90.00 90.00
Closest atoms and distances in Å follow each position.
Space group Pm-3m (No. 221)
Unique sites:
Cs  0.0000  0.0000  0.0000 (multiplicity 1)  12 Ru 3.44
Ir  0.5000  0.5000  0.5000 (multiplicity 1)  6 Ru 2.43
Ru  0.0000  0.5000  0.5000 (multiplicity 3)  2 Ir 2.43

Its energy is -5.842 eV/atom. The magnetization comes out at 0.29 μB/atom. As for the formation energy: 1.6662 eV/atom. As for the excess energy over the best structure of this formula in the dataset: 0.0000 eV per atom.

---

Compound: Pu4Ge2Rh
Source: Alexandria
Functional: PBE
Structure: optimized geometry

Lattice parameters (Å, degrees): 5.1030 5.1030 15.0899 90.00 90.00 90.00
Closest atoms and distances in Å follow each position.
Space group I4/mmm (No. 139)
Unique sites:
Pu  0.0000  0.0000  0.1898 (multiplicity 4)  1 Ge 2.86, 1 Rh 2.86
Pu  0.0000  0.5000  0.0000 (multiplicity 4)  2 Rh 2.55
Ge  0.0000  0.0000  0.3792 (multiplicity 4)  5 Pu 2.86-3.14
Rh  0.0000  0.0000  0.0000 (multiplicity 2)  4 Pu 2.55

Its energy is -10.579 eV/atom. The magnetization comes out at 3.13 μB/atom. As for the formation energy: -0.0197 eV/atom.